# 1
PrIrI: optimized geometry, PBE-GGA.

Computed properties:
Relative energy among the computed polymorphs in kcal/mol of atoms: 8.927
Formation energy (no corrections) in meV/atom: -672

Cell and atoms, written as extended XYZ:
```
6
Lattice="3.0313 -2.8112 0.0000 3.0313 2.8112 0.0000 -0.6488 0.0000 11.1267" Properties=species:S:1:pos:R:3 pbc="T T T"
Pr 0.8770 0.0000 1.7476
Pr 4.5368 0.0000 9.3791
Ir 1.6828 0.0000 10.0636
Ir 3.7311 0.0000 1.0631
I 1.0430 0.0000 7.3454
I 4.3708 0.0000 3.7813
```

=====

# 2
LaTh2In: optimized geometry, PBE-GGA.

Computed properties:
Relative energy among the computed polymorphs in kcal/mol of atoms: 6.419

Cell and atoms, written as extended XYZ:
```
4
Lattice="1.7086 0.9865 12.4536 -1.7086 0.9865 12.4536 0.0000 -1.9729 12.4536" Properties=species:S:1:pos:R:3 pbc="T T T"
La 0.0000 0.0000 0.0000
Th 0.0000 0.0000 3.4300
Th 0.0000 0.0000 33.9308
In 0.0000 0.0000 18.6804
```

=====

# 3
ThTi2Ga8: optimized geometry, PBE-GGA.

Computed properties:
Uncorrected energy in eV per atom: -4.47

Cell and atoms, written as extended XYZ:
```
11
Lattice="3.7410 -5.8866 0.0000 3.7410 5.8866 0.0000 -1.8189 0.0000 4.9045" Properties=species:S:1:pos:R:3 pbc="T T T"
Th 0.0000 0.0000 0.0000
Ti 2.8315 2.5122 2.4523
Ti 2.8315 -2.5122 2.4523
Ga 0.4897 1.2688 3.0783
Ga 3.7410 2.7341 0.0000
Ga 0.4897 -1.2688 3.0783
Ga 2.7815 0.0000 1.1230
Ga 2.8815 0.0000 3.7815
Ga 5.1732 1.2688 1.8262
Ga 3.7410 -2.7341 0.0000
Ga 5.1732 -1.2688 1.8262
```

=====

# 4
PbW: optimized geometry, PBE-GGA.

Computed properties:
Relative energy among the computed polymorphs in kcal/mol of atoms: 21.962

Cell and atoms, written as extended XYZ:
```
8
Lattice="6.1751 0.0000 0.0000 0.0000 6.1751 0.0000 0.0000 0.0000 5.5227" Properties=species:S:1:pos:R:3 pbc="T T T"
Pb 1.1912 1.1912 0.0000
Pb 1.8964 4.2787 2.7614
Pb 4.2787 1.8964 2.7614
Pb 4.9839 4.9839 0.0000
W 0.8195 0.8195 2.7614
W 2.2680 3.9070 0.0000
W 3.9070 2.2680 0.0000
W 5.3556 5.3556 2.7614
```

=====

| no. | DOS at the Fermi energy (states/eV/cell) |
| --- | --- |
| 1 | 5.11 |
| 2 | 4.99 |
| 3 | 5.44 |
| 4 | 5.32 |